Record 1
PrV3B4O12 | PBE with a Hubbard U | optimized geometry

Space-group type = R32

a b c (Å): 6.190 6.190 6.190
angles (deg): 103.62 103.62 103.62
Last column: magnetic moment on the atom in μB.
Fractional positions:
Pr (0.000, 0.000, 0.000)  0.01
V (0.552, 0.448, 0.000)  1.92
V (0.448, 0.000, 0.552)  1.92
V (0.000, 0.552, 0.448)  1.92
B (0.946, 0.054, 0.500)  0.01
B (0.054, 0.500, 0.946)  0.01
B (0.500, 0.946, 0.054)  0.01
B (0.500, 0.500, 0.500)  0.01
O (0.500, 0.357, 0.643)  -0.02
O (0.911, 0.500, 0.089)  -0.01
O (0.089, 0.911, 0.500)  -0.01
O (0.500, 0.089, 0.911)  -0.01
O (0.374, 0.970, 0.210)  -0.01
O (0.210, 0.374, 0.970)  -0.01
O (0.970, 0.210, 0.374)  -0.01
O (0.626, 0.790, 0.030)  -0.01
O (0.030, 0.626, 0.790)  -0.01
O (0.790, 0.030, 0.626)  -0.01
O (0.643, 0.500, 0.357)  -0.02
O (0.357, 0.643, 0.500)  -0.02



Record 2
PrB2WO8 | PBE with a Hubbard U | optimized geometry

Space-group type = P-3m1

a b c (Å): 4.966 4.966 6.689
angles (deg): 90.00 90.00 120.00
Last column: magnetic moment on the atom in μB.
Fractional positions:
Pr (0.000, 0.000, 0.500)  -0.01
B (0.667, 0.333, 0.256)  -0.01
B (0.333, 0.667, 0.744)  -0.01
W (0.000, 0.000, 0.000)  -0.01
O (0.827, 0.173, 0.182)  0.03
O (0.827, 0.654, 0.182)  0.03
O (0.346, 0.173, 0.182)  0.03
O (0.654, 0.827, 0.818)  0.03
O (0.333, 0.667, 0.527)  0.35
O (0.667, 0.333, 0.473)  0.35
O (0.173, 0.827, 0.818)  0.03
O (0.173, 0.346, 0.818)  0.03



Number 1: calculated total energy -8.13 eV/atom. Number 2: calculated total energy -7.67 eV/atom.